! CdCuIr2 | Alexandria via LeMat-Bulk | GGA-PBEsol | relaxed; values from VASP
&SYSTEM
  ibrav = 0, nat = 4, ntyp = 3
/
ATOMIC_SPECIES
Cd 112.41 Cd.upf
Cu 63.55 Cu.upf
Ir 192.22 Ir.upf
CELL_PARAMETERS angstrom
4.3691 0.0000 0.0000
2.1845 3.7837 0.0000
2.1845 1.2612 3.5673
ATOMIC_POSITIONS crystal
Cd 0.5000 0.5000 0.5000
Cu 0.2500 0.2500 0.2500
Ir 0.0000 0.0000 0.0000
Ir 0.7500 0.7500 0.7500
! * uncorrected energy: -5.9138 eV/atom
! * density of states at the Fermi level: 5.42 states/eV/cell


! ZrHO2F | Alexandria via LeMat-Bulk | GGA-PBEsol | relaxed; values from VASP
&SYSTEM
  ibrav = 0, nat = 5, ntyp = 4
/
ATOMIC_SPECIES
H 1.01 H.upf
O 16.00 O.upf
Zr 91.22 Zr.upf
F 19.00 F.upf
CELL_PARAMETERS angstrom
-2.8098 1.1768 -0.6855
-1.3204 -3.2224 -0.1198
-0.7526 0.1820 3.3973
ATOMIC_POSITIONS crystal
H 0.0000 0.0000 0.0000
O 0.0000 0.0000 0.5000
O 0.0000 0.5000 0.0000
Zr 0.5000 0.5000 0.5000
F 0.5000 0.0000 0.0000
! * uncorrected energy: -6.7508 eV/atom
! * density of states at the Fermi level: 0.57 states/eV/cell


! YMn2Cu | Alexandria via LeMat-Bulk | GGA-PBEsol | relaxed; values from VASP
&SYSTEM
  ibrav = 0, nat = 4, ntyp = 3
/
ATOMIC_SPECIES
Cu 63.55 Cu.upf
Mn 54.94 Mn.upf
Y 88.91 Y.upf
CELL_PARAMETERS angstrom
3.2562 0.0000 0.0000
0.0000 4.4885 -0.0402
-1.6281 -2.1944 4.5133
ATOMIC_POSITIONS crystal
Cu 0.0000 0.5000 0.0000
Mn 0.2751 0.2752 0.5502
Mn 0.7249 0.7248 0.4498
Y 0.5000 0.0000 0.0000
! * uncorrected energy: -7.2799 eV/atom
! * density of states at the Fermi level: 3.62 states/eV/cell


! ZrTa2Tc | Alexandria via LeMat-Bulk | GGA-PBEsol | relaxed; values from VASP
&SYSTEM
  ibrav = 0, nat = 4, ntyp = 3
/
ATOMIC_SPECIES
Tc 98.00 Tc.upf
Zr 91.22 Zr.upf
Ta 180.95 Ta.upf
CELL_PARAMETERS angstrom
3.2148 0.0000 0.0000
0.0000 4.6148 0.0000
-1.6074 -2.3074 4.7049
ATOMIC_POSITIONS crystal
Tc 0.5000 0.0000 0.0000
Zr 0.0000 0.5000 0.0000
Ta 0.7661 0.7661 0.5322
Ta 0.2339 0.2339 0.4678
! * uncorrected energy: -11.5722 eV/atom
! * density of states at the Fermi level: 3.18 states/eV/cell


! BaTaW2 | Alexandria via LeMat-Bulk | GGA-PBEsol | relaxed; values from VASP
&SYSTEM
  ibrav = 0, nat = 4, ntyp = 3
/
ATOMIC_SPECIES
Ba 137.33 Ba.upf
Ta 180.95 Ta.upf
W 183.84 W.upf
CELL_PARAMETERS angstrom
-2.5187 1.2870 1.3742
-0.6271 -4.1858 2.7708
4.4357 3.3287 1.4144
ATOMIC_POSITIONS crystal
Ba 0.5000 0.0000 0.0000
Ta 0.0000 0.5000 0.0000
W 0.7365 0.7365 0.4729
W 0.2635 0.2635 0.5271
! * uncorrected energy: -9.1989 eV/atom
! * density of states at the Fermi level: 4.05 states/eV/cell


! Ba2ZrP | Alexandria via LeMat-Bulk | GGA-PBEsol | relaxed; values from VASP
&SYSTEM
  ibrav = 0, nat = 4, ntyp = 3
/
ATOMIC_SPECIES
Ba 137.33 Ba.upf
P 30.97 P.upf
Zr 91.22 Zr.upf
CELL_PARAMETERS angstrom
4.1433 0.0000 0.0000
2.0716 3.5882 0.0000
2.0716 1.1961 9.9762
ATOMIC_POSITIONS crystal
Ba 0.2290 0.2290 0.3129
Ba 0.7710 0.7710 0.6871
P 0.5000 0.5000 0.5000
Zr 0.0000 0.0000 0.0000
! * uncorrected energy: -4.5954 eV/atom
! * density of states at the Fermi level: 2.38 states/eV/cell


! Ba2FeAg | Alexandria via LeMat-Bulk | GGA-PBEsol | relaxed; values from VASP
&SYSTEM
  ibrav = 0, nat = 4, ntyp = 3
/
ATOMIC_SPECIES
Ag 107.87 Ag.upf
Ba 137.33 Ba.upf
Fe 55.84 Fe.upf
CELL_PARAMETERS angstrom
3.7555 0.0000 0.0000
0.0000 5.3920 0.0000
0.0000 0.0000 6.4220
ATOMIC_POSITIONS crystal
Ag 0.5000 0.5000 0.8760
Ba 0.0000 0.0000 0.8745
Ba 0.5000 0.5000 0.3756
Fe 0.0000 0.0000 0.3738
! * uncorrected energy: -3.5426 eV/atom
! * density of states at the Fermi level: 4.77 states/eV/cell


! CsSrCl2 | Alexandria via LeMat-Bulk | GGA-PBEsol | relaxed; values from VASP
&SYSTEM
  ibrav = 0, nat = 4, ntyp = 3
/
ATOMIC_SPECIES
Cs 132.91 Cs.upf
Sr 87.62 Sr.upf
Cl 35.45 Cl.upf
CELL_PARAMETERS angstrom
-1.2919 -0.5741 -4.6206
-3.4982 -3.1249 -1.1602
-7.9510 5.5330 -0.9910
ATOMIC_POSITIONS crystal
Cs 0.5000 0.5000 0.5000
Sr 0.0000 0.0000 0.0000
Cl 0.9024 0.9024 0.2927
Cl 0.0976 0.0976 0.7073
! * density of states at the Fermi level: 0.96 states/eV/cell
! * formation energy from raw total energies: -1.701 eV per atom


! TcRu | Alexandria via LeMat-Bulk | GGA-PBEsol | relaxed; values from VASP
&SYSTEM
  ibrav = 0, nat = 4, ntyp = 2
/
ATOMIC_SPECIES
Ru 101.07 Ru.upf
Tc 98.00 Tc.upf
CELL_PARAMETERS angstrom
-0.0559 0.0417 2.7006
0.5542 -4.6601 0.0815
4.0027 2.8127 -1.3113
ATOMIC_POSITIONS crystal
Ru 0.1247 0.4576 0.2494
Ru 0.8753 0.5425 0.7506
Tc 0.6252 0.9595 0.2490
Tc 0.3748 0.0405 0.7510
! * uncorrected energy: -10.7798 eV/atom
! * density of states at the Fermi level: 3.68 states/eV/cell


! Li2CrO3 | Alexandria via LeMat-Bulk | GGA-PBEsol | relaxed; values from VASP
&SYSTEM
  ibrav = 0, nat = 12, ntyp = 3
/
ATOMIC_SPECIES
Cr 52.00 Cr.upf
O 16.00 O.upf
Li 6.94 Li.upf
CELL_PARAMETERS angstrom
-3.1528 -4.0013 -1.2813
2.5212 -4.6237 -0.3243
-0.7280 1.7362 4.9291
ATOMIC_POSITIONS crystal
Cr 0.2500 0.9140 0.9140
Cr 0.7500 0.0860 0.0860
O 0.5673 0.9176 0.2164
O 0.0673 0.7836 0.0824
O 0.2500 0.6104 0.6104
O 0.7500 0.3896 0.3896
O 0.9327 0.2164 0.9176
O 0.4327 0.0824 0.7836
Li 0.9234 0.5820 0.2596
Li 0.4234 0.7404 0.4180
Li 0.5766 0.2596 0.5820
Li 0.0766 0.4180 0.7404
! * formation energy from raw total energies: -2.052 eV per atom


! LiYMn2 | Alexandria via LeMat-Bulk | GGA-PBEsol | relaxed; values from VASP
&SYSTEM
  ibrav = 0, nat = 4, ntyp = 3
/
ATOMIC_SPECIES
Li 6.94 Li.upf
Mn 54.94 Mn.upf
Y 88.91 Y.upf
CELL_PARAMETERS angstrom
-2.2537 -1.3562 -1.5370
0.6131 -2.3361 -1.8568
-1.7860 -7.1554 5.9133
ATOMIC_POSITIONS crystal
Li 0.0000 0.0000 0.0000
Mn 0.2535 0.2535 0.2394
Mn 0.7465 0.7465 0.7606
Y 0.5000 0.5000 0.5000
! * uncorrected energy: -6.3611 eV/atom
! * density of states at the Fermi level: 4.59 states/eV/cell


! Zr2Ni2Au | Alexandria via LeMat-Bulk | GGA-PBEsol | relaxed; values from VASP
&SYSTEM
  ibrav = 0, nat = 10, ntyp = 3
/
ATOMIC_SPECIES
Ni 58.69 Ni.upf
Au 196.97 Au.upf
Zr 91.22 Zr.upf
CELL_PARAMETERS angstrom
-0.5884 1.9628 2.5814
-2.8379 -5.3363 3.4106
6.2107 -1.6138 2.6428
ATOMIC_POSITIONS crystal
Ni 0.0000 0.3757 0.8757
Ni 0.0000 0.8757 0.6243
Ni 0.0000 0.6243 0.1243
Ni 0.0000 0.1243 0.3757
Au 0.0000 0.0000 0.0000
Au 0.0000 0.5000 0.5000
Zr 0.5000 0.1737 0.6737
Zr 0.5000 0.6737 0.8263
Zr 0.5000 0.8263 0.3263
Zr 0.5000 0.3263 0.1737
! * uncorrected energy: -7.4729 eV/atom
! * density of states at the Fermi level: 6.06 states/eV/cell


! CdNiSe | Alexandria via LeMat-Bulk | GGA-PBEsol | relaxed; values from VASP
&SYSTEM
  ibrav = 0, nat = 3, ntyp = 3
/
ATOMIC_SPECIES
Cd 112.41 Cd.upf
Ni 58.69 Ni.upf
Se 78.96 Se.upf
CELL_PARAMETERS angstrom
-2.7315 -3.1536 0.5704
0.0837 -2.2390 3.5654
-3.1141 0.3937 2.8070
ATOMIC_POSITIONS crystal
Cd 0.5000 0.5000 0.5000
Ni 0.2500 0.2500 0.2500
Se 0.0000 0.0000 0.0000
! * density of states at the Fermi level: 0.91 states/eV/cell
! * formation energy from raw total energies: -0.083 eV per atom


! Cu3SeO | Alexandria via LeMat-Bulk | GGA-PBEsol | relaxed; values from VASP
&SYSTEM
  ibrav = 0, nat = 5, ntyp = 3
/
ATOMIC_SPECIES
O 16.00 O.upf
Cu 63.55 Cu.upf
Se 78.96 Se.upf
CELL_PARAMETERS angstrom
3.9855 0.0000 0.0000
0.0000 3.9855 0.0000
0.0000 0.0000 3.9855
ATOMIC_POSITIONS crystal
O 0.0000 0.0000 0.0000
Cu 0.0000 0.5000 0.0000
Cu 0.0000 0.0000 0.5000
Cu 0.5000 0.0000 0.0000
Se 0.5000 0.5000 0.5000
! * density of states at the Fermi level: 3.13 states/eV/cell
! * formation energy from raw total energies: -0.072 eV per atom


! Ca2CoTe | Alexandria via LeMat-Bulk | GGA-PBEsol | relaxed; values from VASP
&SYSTEM
  ibrav = 0, nat = 4, ntyp = 3
/
ATOMIC_SPECIES
Ca 40.08 Ca.upf
Te 127.60 Te.upf
Co 58.93 Co.upf
CELL_PARAMETERS angstrom
-2.9269 2.8473 -1.2396
-2.0110 -0.4398 3.7381
5.3354 2.6095 0.7415
ATOMIC_POSITIONS crystal
Ca 0.0000 0.0000 0.0000
Ca 0.7500 0.2500 0.5000
Te 0.2500 0.7500 0.5000
Co 0.5000 0.5000 0.0000
! * density of states at the Fermi level: 6.19 states/eV/cell
! * formation energy from raw total energies: -0.180 eV per atom


! BeTcRh3 | Alexandria via LeMat-Bulk | GGA-PBEsol | relaxed; values from VASP
&SYSTEM
  ibrav = 0, nat = 5, ntyp = 3
/
ATOMIC_SPECIES
Be 9.01 Be.upf
Rh 102.91 Rh.upf
Tc 98.00 Tc.upf
CELL_PARAMETERS angstrom
4.0331 0.0000 0.0000
0.0000 4.0331 0.0000
0.0000 0.0000 4.0331
ATOMIC_POSITIONS crystal
Be 0.0000 0.0000 0.0000
Rh 0.0000 0.5000 0.0000
Rh 0.0000 0.0000 0.5000
Rh 0.5000 0.0000 0.0000
Tc 0.5000 0.5000 0.5000
! * uncorrected energy: -7.5224 eV/atom
! * density of states at the Fermi level: 6.20 states/eV/cell


! TiSe2IN | Alexandria via LeMat-Bulk | GGA-PBEsol | relaxed; values from VASP
&SYSTEM
  ibrav = 0, nat = 5, ntyp = 4
/
ATOMIC_SPECIES
I 126.90 I.upf
N 14.01 N.upf
Se 78.96 Se.upf
Ti 47.87 Ti.upf
CELL_PARAMETERS angstrom
3.7783 0.0000 0.0000
0.0000 5.1308 0.0000
0.0000 0.0000 5.1308
ATOMIC_POSITIONS crystal
I 0.5000 0.5000 0.5000
N 0.5000 0.0000 0.0000
Se 0.0000 0.0000 0.5000
Se 0.0000 0.5000 0.0000
Ti 0.0000 0.0000 0.0000
! * density of states at the Fermi level: 4.08 states/eV/cell
! * formation energy from raw total energies: -0.004 eV per atom


! SbPtN3 | Alexandria via LeMat-Bulk | GGA-PBEsol | relaxed; values from VASP
&SYSTEM
  ibrav = 0, nat = 5, ntyp = 3
/
ATOMIC_SPECIES
Sb 121.76 Sb.upf
Pt 195.08 Pt.upf
N 14.01 N.upf
CELL_PARAMETERS angstrom
3.9819 0.0000 0.0000
0.0000 3.9819 0.0000
0.0000 0.0000 3.9819
ATOMIC_POSITIONS crystal
Sb 0.0000 0.0000 0.0000
Pt 0.5000 0.5000 0.5000
N 0.0000 0.5000 0.0000
N 0.0000 0.0000 0.5000
N 0.5000 0.0000 0.0000
! * density of states at the Fermi level: 4.84 states/eV/cell
! * formation energy from raw total energies: 1.905 eV per atom


! SrPb | Alexandria via LeMat-Bulk | GGA-PBEsol | relaxed; values from VASP
&SYSTEM
  ibrav = 0, nat = 4, ntyp = 2
/
ATOMIC_SPECIES
Pb 207.20 Pb.upf
Sr 87.62 Sr.upf
CELL_PARAMETERS angstrom
5.8122 0.0000 0.0000
-2.9061 5.0335 0.0000
0.0000 0.0000 6.6276
ATOMIC_POSITIONS crystal
Pb 0.6667 0.3333 0.2500
Pb 0.3333 0.6667 0.7500
Sr 0.6667 0.3333 0.7500
Sr 0.3333 0.6667 0.2500
! * uncorrected energy: -2.8299 eV/atom
! * density of states at the Fermi level: 5.76 states/eV/cell


! Tc2MoP | Alexandria via LeMat-Bulk | GGA-PBEsol | relaxed; values from VASP
&SYSTEM
  ibrav = 0, nat = 4, ntyp = 3
/
ATOMIC_SPECIES
P 30.97 P.upf
Mo 95.94 Mo.upf
Tc 98.00 Tc.upf
CELL_PARAMETERS angstrom
2.8795 0.0000 0.0000
0.0000 4.3351 0.0000
-1.4398 -2.1675 4.3184
ATOMIC_POSITIONS crystal
P 0.0000 0.5000 0.0000
Mo 0.5000 0.0000 0.0000
Tc 0.7189 0.7189 0.4379
Tc 0.2811 0.2811 0.5621
! * uncorrected energy: -10.3384 eV/atom
! * density of states at the Fermi level: 2.57 states/eV/cell


| no. | calculated density (g/cm³) |
| --- | --- |
| 1 | 15.78 |
| 2 | 6.27 |
| 3 | 6.63 |
| 4 | 13.11 |
| 5 | 14.65 |
| 6 | 4.44 |
| 7 | 5.60 |
| 8 | 2.57 |
| 9 | 12.18 |
| 10 | 3.22 |
| 11 | 4.58 |
| 12 | 10.39 |
| 13 | 7.86 |
| 14 | 7.49 |
| 15 | 4.70 |
| 16 | 10.52 |
| 17 | 5.79 |
| 18 | 9.44 |
| 19 | 5.05 |
| 20 | 9.95 |